MgPdO: optimized geometry, PBE.

Lattice parameters (Å, degrees): 2.8942 2.8942 8.8544 90.00 90.00 90.00
Last column: magnetic moment on the atom in μB.
Sites, in units of the cell vectors:
Mg 0.8181 0.5959 0.7582  0.00
Mg 0.3181 0.0959 0.0190  0.00
Pd 0.8181 0.5961 0.2807  0.28
Pd 0.3181 0.0961 0.4965  0.30
O 0.3181 0.0960 0.7680  0.03
O 0.8181 0.5959 0.0091  0.03

Properties
density of states at the Fermi level	0.681	states/eV/atom
raw total energy	-5.393	eV/atom
formation energy (no corrections)	-1.478	eV/atom
M_tot	0.6	Bohr magnetons per cell

MgPdO: optimized geometry, PBE.

Lattice parameters (Å, degrees): 5.6351 2.8426 10.0058 90.00 90.00 90.00
Sites, in units of the cell vectors:
Mg 0.0000 0.2500 0.7497
Mg 0.5000 0.7500 0.2497
Mg 0.0000 0.7500 0.2503
Mg 0.5000 0.2500 0.7503
O 0.7501 0.2500 0.2436
O 0.7499 0.7500 0.7436
O 0.2499 0.7500 0.7564
O 0.2501 0.2500 0.2564
Pd 0.2504 0.2500 0.4891
Pd 0.2496 0.7500 0.9891
Pd 0.7496 0.7500 0.5109
Pd 0.7504 0.2500 0.0109

Properties
density of states at the Fermi level	0.852	states/eV/atom
raw total energy	-5.166	eV/atom
formation energy (no corrections)	-1.251	eV/atom
M_tot	0.0	Bohr magnetons per cell

MgPdO: optimized geometry, PBE.

Lattice parameters (Å, degrees): 5.8350 2.9575 5.9953 60.45 107.24 120.48
Sites, in units of the cell vectors:
Mg 0.3109 0.4611 0.7780
Mg 0.7365 0.4995 0.1656
Pd 0.1969 0.3443 0.2810
Pd 0.8504 0.6162 0.6626
O 0.5235 0.9799 0.9721
O 0.5244 0.9806 0.4723

Properties
density of states at the Fermi level	0.591	states/eV/atom
raw total energy	-5.039	eV/atom
formation energy (no corrections)	-1.123	eV/atom
M_tot	0.0	Bohr magnetons per cell

MgPd2O: optimized geometry, PBE.

Lattice parameters (Å, degrees): 4.8888 4.8888 7.1447 69.99 69.99 90.00
Sites, in units of the cell vectors:
Mg 0.0000 0.0000 0.0000
Mg 0.7500 0.2500 0.5000
O 0.5000 0.5000 0.0000
O 0.2500 0.7500 0.5000
Pd 0.4800 0.1250 0.2500
Pd 0.2700 0.6250 0.2500
Pd 0.3750 0.5200 0.7500
Pd 0.8750 0.7300 0.7500

Properties
density of states at the Fermi level	0.390	states/eV/atom
raw total energy	-4.417	eV/atom
formation energy (no corrections)	-0.183	eV/atom
M_tot	0.0	Bohr magnetons per cell

PmMgPdO4: optimized geometry, PBE.

Lattice parameters (Å, degrees): 7.0799 6.3187 7.0490 123.90 90.00 124.07
Sites, in units of the cell vectors:
Pm 0.5000 0.0000 0.5000
Pm 0.5000 0.0000 0.0000
Mg 0.9656 0.9313 0.2156
Mg 0.0344 0.0687 0.7844
Pd 0.5000 0.5000 0.5000
Pd 0.0000 0.5000 0.5000
O 0.8028 0.6056 0.7422
O 0.2681 0.9725 0.2363
O 0.7044 0.9725 0.2363
O 0.8028 0.6056 0.3633
O 0.1972 0.3944 0.6367
O 0.7319 0.0275 0.7637
O 0.2956 0.0275 0.7637
O 0.1972 0.3944 0.2578

Properties
density of states at the Fermi level	0.342	states/eV/atom
raw total energy	-6.433	eV/atom
formation energy (no corrections)	-1.951	eV/atom
M_tot	0.0	Bohr magnetons per cell

Pr2MgPdO5: optimized geometry, PBE.

Lattice parameters (Å, degrees): 5.8012 6.7617 6.7617 90.00 90.00 90.00
Sites, in units of the cell vectors:
Pr 0.5000 0.6712 0.1712
Pr 0.5000 0.1712 0.3288
Pr 0.5000 0.8288 0.6712
Pr 0.5000 0.3288 0.8288
Mg 0.0000 0.5000 0.5000
Mg 0.0000 0.0000 0.0000
Pd 0.0000 0.0000 0.5000
Pd 0.0000 0.5000 0.0000
O 0.5000 0.5000 0.5000
O 0.5000 0.0000 0.0000
O 0.2424 0.1474 0.6474
O 0.2424 0.8526 0.3526
O 0.2424 0.3526 0.1474
O 0.2424 0.6474 0.8526
O 0.7576 0.1474 0.6474
O 0.7576 0.6474 0.8526
O 0.7576 0.8526 0.3526
O 0.7576 0.3526 0.1474

Properties
raw total energy	-6.693	eV/atom
formation energy (no corrections)	-2.122	eV/atom
M_tot	0.0	Bohr magnetons per cell

- What is the formula in the sixth record?
  Pr2MgPdO5